# RbBiSe2N | Alexandria | PBEsol | relaxed
# Raw formation energy: 34 kJ per mole of atoms
# Volume: 28.67 A^3/atom
data_RbBiSe2N
_chemical_formula_sum 'Rb1 Bi1 Se2 N1'
_cell_length_a 5.5653
_cell_length_b 5.5653
_cell_length_c 4.6278
_cell_angle_alpha 90.00
_cell_angle_beta 90.00
_cell_angle_gamma 90.00
_space_group_name_H-M_alt 'P 4/m m m'
_space_group_IT_number 123
_space_group_name_Hall '-P 4 2'
loop_
_atom_site_label
_atom_site_type_symbol
_atom_site_fract_x
_atom_site_fract_y
_atom_site_fract_z
Rb1 Rb 0.0000 0.0000 0.0000
Bi1 Bi 0.5000 0.5000 0.5000
Se1 Se 0.0000 0.5000 0.5000
N1 N 0.5000 0.5000 0.0000